Record 1
# BiAs2SeCl | Alexandria via LeMat-Bulk | PBE-GGA | relaxed
# density	6.280	g/cm3
# E_form (uncorrected)	0.7642	eV/atom
data_BiAs2SeCl
_chemical_formula_sum 'Bi1 As2 Se1 Cl1'
_space_group_name_H-M_alt 'P 1'
_space_group_IT_number 1
_space_group_name_Hall 'P 1'
_cell_length_a 4.936
_cell_length_b 4.936
_cell_length_c 5.135
_cell_angle_alpha 90.00
_cell_angle_beta 90.00
_cell_angle_gamma 90.00
loop_
_atom_site_label
_atom_site_fract_x
_atom_site_fract_y
_atom_site_fract_z
Bi1 0.000 0.000 0.000
As1 0.000 0.500 0.500
As2 0.500 0.000 0.500
Se1 0.500 0.500 0.000
Cl1 0.500 0.500 0.500

Record 2
# Li2Dy3Pd3 | Alexandria via LeMat-Bulk | PBE-GGA | relaxed
# density	8.145	g/cm3
# final energy	-4.7978	eV/atom
data_Li2Dy3Pd3
_chemical_formula_sum 'Li4 Dy6 Pd6'
_space_group_name_H-M_alt 'P 1'
_space_group_IT_number 1
_space_group_name_Hall 'P 1'
_cell_length_a 8.362
_cell_length_b 8.362
_cell_length_c 5.526
_cell_angle_alpha 90.00
_cell_angle_beta 90.00
_cell_angle_gamma 120.00
loop_
_atom_site_label
_atom_site_fract_x
_atom_site_fract_y
_atom_site_fract_z
Li1 0.333 0.667 0.000
Li2 0.333 0.667 0.500
Li3 0.667 0.333 0.000
Li4 0.667 0.333 0.500
Dy1 0.000 0.262 0.250
Dy2 0.000 0.738 0.750
Dy3 0.262 0.000 0.250
Dy4 0.262 0.262 0.750
Dy5 0.738 0.000 0.750
Dy6 0.738 0.738 0.250
Pd1 0.000 0.395 0.750
Pd2 0.000 0.605 0.250
Pd3 0.395 0.000 0.750
Pd4 0.395 0.395 0.250
Pd5 0.605 0.000 0.250
Pd6 0.605 0.605 0.750

Record 3
# SmDyHo2Er5 | Alexandria via LeMat-Bulk | PBE-GGA | relaxed
# density	8.556	g/cm3
# final energy	-4.4275	eV/atom
data_SmDyHo2Er5
_chemical_formula_sum 'Sm2 Dy2 Ho4 Er10'
_space_group_name_H-M_alt 'P 1'
_space_group_IT_number 1
_space_group_name_Hall 'P 1'
_cell_length_a 10.211
_cell_length_b 10.211
_cell_length_c 10.510
_cell_angle_alpha 90.00
_cell_angle_beta 90.00
_cell_angle_gamma 148.41
loop_
_atom_site_label
_atom_site_fract_x
_atom_site_fract_y
_atom_site_fract_z
Sm1 0.084 0.916 0.500
Sm2 0.916 0.084 0.000
Dy1 0.300 0.700 0.058
Dy2 0.700 0.300 0.558
Ho1 0.387 0.613 0.365
Ho2 0.390 0.610 0.782
Ho3 0.610 0.390 0.282
Ho4 0.613 0.387 0.865
Er1 0.021 0.979 0.783
Er2 0.111 0.889 0.069
Er3 0.201 0.799 0.756
Er4 0.218 0.782 0.357
Er5 0.482 0.518 0.072
Er6 0.518 0.482 0.572
Er7 0.782 0.218 0.857
Er8 0.799 0.201 0.256
Er9 0.889 0.111 0.569
Er10 0.979 0.021 0.283